--- 1 ---
The following is a PBE calculation of an optimized crystal structure of K2LiSe2, from the Alexandria database.

Summary:
DOS(E_F) ... 0.08 states/eV per cell
Theoretical density ... 2.803 g/cm3
SG ... P4/mbm, No. 127
Total magnetization ... 0.200 μB per atom

a = 7.651 Å, b = 7.651 Å, c = 4.920 Å
α = 90.00°, β = 90.00°, γ = 90.00°
Positions (direct):
K 0.151 0.349 0.000
K 0.349 0.849 0.000
K 0.651 0.151 0.000
K 0.849 0.651 0.000
Li 0.000 0.000 0.500
Li 0.500 0.500 0.500
Se 0.154 0.654 0.500
Se 0.346 0.154 0.500
Se 0.654 0.846 0.500
Se 0.846 0.346 0.500



--- 2 ---
The following is a PBE calculation of an optimized crystal structure of K2LiSe2, from the Alexandria database.

Summary:
DOS(E_F) ... 2.92 states/eV per cell
Theoretical density ... 2.202 g/cm3
SG ... P4/mmm, No. 123
Total magnetization ... 0.000 μB per atom

a = 3.514 Å, b = 3.514 Å, c = 14.844 Å
α = 90.00°, β = 90.00°, γ = 90.00°
Positions (direct):
K 0.000 0.000 0.138
K 0.000 0.000 0.862
Li 0.000 0.000 0.500
Se 0.000 0.000 0.339
Se 0.000 0.000 0.661



Name the least stable of them. 2.



--- 1 ---
The following is a PBE calculation of an optimized crystal structure of KLi3Se, from the Alexandria database.

Summary:
DOS(E_F) ... 0.02 states/eV per cell
Theoretical density ... 1.671 g/cm3
SG ... Pm-3m, No. 221
Total magnetization ... 0.000 μB per atom

a = 5.168 Å, b = 5.168 Å, c = 5.168 Å
α = 90.00°, β = 90.00°, γ = 90.00°
Positions (direct):
K 0.000 0.000 0.000
Li 0.000 0.500 0.500
Li 0.500 0.000 0.500
Li 0.500 0.500 0.000
Se 0.500 0.500 0.500



--- 2 ---
The following is a PBE calculation of an optimized crystal structure of KLi3Se, from the Alexandria database.

Summary:
DOS(E_F) ... 0.00 states/eV per cell
Theoretical density ... 1.480 g/cm3
SG ... Pm-3m, No. 221
Total magnetization ... 0.000 μB per atom

a = 5.381 Å, b = 5.381 Å, c = 5.381 Å
α = 90.00°, β = 90.00°, γ = 90.00°
Positions (direct):
K 0.000 0.000 0.000
Li 0.000 0.000 0.500
Li 0.000 0.500 0.000
Li 0.500 0.000 0.000
Se 0.500 0.500 0.500



Name the least stable of them. 2.



--- 1 ---
The following is a PBE calculation of an optimized crystal structure of KLiSiSe2, from the Alexandria database.

Summary:
DOS(E_F) ... 1.95 states/eV per cell
Theoretical density ... 2.052 g/cm3
SG ... P4/mmm, No. 123
Total magnetization ... 0.000 μB per atom

a = 5.830 Å, b = 5.830 Å, c = 5.523 Å
α = 90.00°, β = 90.00°, γ = 90.00°
Positions (direct):
K 0.000 0.000 0.000
Li 0.500 0.500 0.500
Si 0.000 0.000 0.500
Se 0.000 0.500 0.000
Se 0.500 0.000 0.000



--- 2 ---
The following is a PBE calculation of an optimized crystal structure of KLiSiSe2, from the Alexandria database.

Summary:
DOS(E_F) ... 1.55 states/eV per cell
Theoretical density ... 3.424 g/cm3
SG ... P4/mmm, No. 123
Total magnetization ... 0.000 μB per atom

a = 5.001 Å, b = 5.001 Å, c = 4.499 Å
α = 90.00°, β = 90.00°, γ = 90.00°
Positions (direct):
K 0.000 0.000 0.000
Li 0.000 0.000 0.500
Si 0.500 0.500 0.000
Se 0.000 0.500 0.500
Se 0.500 0.000 0.500



Name the least stable of them. 1.



--- 1 ---
The following is a PBE calculation of an optimized crystal structure of KLiSn, from the Alexandria database.

Summary:
DOS(E_F) ... 1.61 states/eV per cell
Theoretical density ... 2.775 g/cm3
SG ... I4/mmm, No. 139
Total magnetization ... 0.000 μB per atom

a = 4.987 Å, b = 4.987 Å, c = 15.853 Å
α = 90.00°, β = 90.00°, γ = 90.00°
Positions (direct):
K 0.000 0.000 0.175
K 0.000 0.000 0.825
K 0.500 0.500 0.325
K 0.500 0.500 0.675
Li 0.000 0.500 0.000
Li 0.000 0.500 0.500
Li 0.500 0.000 0.000
Li 0.500 0.000 0.500
Sn 0.000 0.000 0.409
Sn 0.000 0.000 0.591
Sn 0.500 0.500 0.091
Sn 0.500 0.500 0.909



--- 2 ---
The following is a PBE calculation of an optimized crystal structure of KLiSn, from the Alexandria database.

Summary:
DOS(E_F) ... 1.04 states/eV per cell
Theoretical density ... 2.890 g/cm3
SG ... P2_1/m, No. 11
Total magnetization ... 0.000 μB per atom

a = 5.489 Å, b = 4.673 Å, c = 7.418 Å
α = 90.00°, β = 95.54°, γ = 90.00°
Positions (direct):
K 0.248 0.250 0.368
K 0.752 0.750 0.632
Li 0.135 0.750 0.034
Li 0.865 0.250 0.966
Sn 0.371 0.250 0.882
Sn 0.629 0.750 0.118



Name the least stable of them. 2.



--- 1 ---
The following is a PBE calculation of an optimized crystal structure of KLiSn, from the Alexandria database.

Summary:
DOS(E_F) ... 0.97 states/eV per cell
Theoretical density ... 3.020 g/cm3
SG ... P2_1/m, No. 11
Total magnetization ... 0.000 μB per atom

a = 5.676 Å, b = 5.044 Å, c = 6.620 Å
α = 90.00°, β = 107.12°, γ = 90.00°
Positions (direct):
K 0.229 0.250 0.011
K 0.771 0.750 0.989
Li 0.384 0.250 0.526
Li 0.616 0.750 0.474
Sn 0.157 0.750 0.585
Sn 0.843 0.250 0.415



--- 2 ---
The following is a PBE calculation of an optimized crystal structure of KLiSn, from the Alexandria database.

Summary:
DOS(E_F) ... 4.08 states/eV per cell
Theoretical density ... 2.410 g/cm3
SG ... Cm, No. 8
Total magnetization ... 0.000 μB per atom

a = 8.214 Å, b = 4.760 Å, c = 11.909 Å
α = 90.00°, β = 102.86°, γ = 90.00°
Positions (direct):
K 0.000 0.000 0.000
K 0.203 0.000 0.629
K 0.500 0.500 0.000
K 0.703 0.500 0.629
Li 0.101 0.000 0.314
Li 0.269 0.500 0.314
Li 0.601 0.500 0.314
Li 0.769 0.000 0.314
Sn 0.397 0.000 0.196
Sn 0.473 0.000 0.433
Sn 0.897 0.500 0.196
Sn 0.973 0.500 0.433



--- 3 ---
The following is a PBE calculation of an optimized crystal structure of KLiSn, from the Alexandria database.

Summary:
DOS(E_F) ... 5.14 states/eV per cell
Theoretical density ... 2.722 g/cm3
SG ... Cm, No. 8
Total magnetization ... 0.000 μB per atom

a = 13.073 Å, b = 4.868 Å, c = 7.007 Å
α = 90.00°, β = 115.65°, γ = 90.00°
Positions (direct):
K 0.000 0.000 0.000
K 0.216 0.000 0.593
K 0.500 0.500 0.000
K 0.716 0.500 0.593
Li 0.012 0.500 0.618
Li 0.326 0.000 0.194
Li 0.512 0.000 0.618
Li 0.826 0.500 0.194
Sn 0.211 0.500 0.009
Sn 0.393 0.500 0.420
Sn 0.711 0.000 0.009
Sn 0.893 0.000 0.420



--- 4 ---
The following is a PBE calculation of an optimized crystal structure of KLiSn, from the Alexandria database.

Summary:
DOS(E_F) ... 3.18 states/eV per cell
Theoretical density ... 2.810 g/cm3
SG ... P-1, No. 2
Total magnetization ... 0.000 μB per atom

a = 4.898 Å, b = 5.641 Å, c = 7.967 Å
α = 79.24°, β = 89.94°, γ = 64.65°
Positions (direct):
K 0.173 0.159 0.142
K 0.827 0.841 0.858
Li 0.385 0.726 0.565
Li 0.615 0.274 0.435
Sn 0.112 0.281 0.640
Sn 0.888 0.719 0.360



Name the least stable of them. 4.



--- 1 ---
The following is a PBE calculation of an optimized crystal structure of KLiSn, from the Alexandria database.

Summary:
DOS(E_F) ... 1.85 states/eV per cell
Theoretical density ... 2.412 g/cm3
SG ... P-1, No. 2
Total magnetization ... 0.000 μB per atom

a = 4.792 Å, b = 4.792 Å, c = 11.408 Å
α = 89.35°, β = 89.10°, γ = 60.03°
Positions (direct):
K 0.177 0.170 0.186
K 0.823 0.830 0.814
Li 0.166 0.166 0.518
Li 0.834 0.834 0.482
Sn 0.496 0.499 0.621
Sn 0.504 0.501 0.379



--- 2 ---
The following is a PBE calculation of an optimized crystal structure of KLiSn, from the Alexandria database.

Summary:
DOS(E_F) ... 2.28 states/eV per cell
Theoretical density ... 3.072 g/cm3
SG ... P3m1, No. 156
Total magnetization ... 0.000 μB per atom

a = 5.463 Å, b = 5.463 Å, c = 3.446 Å
α = 90.00°, β = 90.00°, γ = 120.00°
Positions (direct):
K 0.000 0.000 0.000
Li 0.333 0.667 0.490
Sn 0.667 0.333 0.504



--- 3 ---
The following is a PBE calculation of an optimized crystal structure of KLiSn, from the Alexandria database.

Summary:
DOS(E_F) ... 2.50 states/eV per cell
Theoretical density ... 2.465 g/cm3
SG ... Cm, No. 8
Total magnetization ... 0.000 μB per atom

a = 9.614 Å, b = 4.502 Å, c = 10.419 Å
α = 90.00°, β = 100.15°, γ = 90.00°
Positions (direct):
K 0.000 0.000 0.000
K 0.143 0.500 0.634
K 0.500 0.500 0.000
K 0.643 0.000 0.634
Li 0.425 0.500 0.426
Li 0.453 0.000 0.262
Li 0.925 0.000 0.426
Li 0.953 0.500 0.262
Sn 0.215 0.000 0.386
Sn 0.227 0.500 0.198
Sn 0.715 0.500 0.386
Sn 0.727 0.000 0.198



--- 4 ---
The following is a PBE calculation of an optimized crystal structure of KLiSn, from the Alexandria database.

Summary:
DOS(E_F) ... 4.18 states/eV per cell
Theoretical density ... 2.965 g/cm3
SG ... Cmcm, No. 63
Total magnetization ... 0.000 μB per atom

a = 4.893 Å, b = 13.062 Å, c = 5.775 Å
α = 90.00°, β = 90.00°, γ = 90.00°
Positions (direct):
K 0.000 0.224 0.250
K 0.000 0.776 0.750
K 0.500 0.276 0.750
K 0.500 0.724 0.250
Li 0.000 0.500 0.000
Li 0.000 0.500 0.500
Li 0.500 0.000 0.000
Li 0.500 0.000 0.500
Sn 0.000 0.056 0.750
Sn 0.000 0.944 0.250
Sn 0.500 0.444 0.250
Sn 0.500 0.556 0.750



Name the least stable of them. 2.



--- 1 ---
The following is a PBE calculation of an optimized crystal structure of KLiSn, from the Alexandria database.

Summary:
DOS(E_F) ... 3.96 states/eV per cell
Theoretical density ... 2.412 g/cm3
SG ... C2/m, No. 12
Total magnetization ... 0.000 μB per atom

a = 8.260 Å, b = 4.794 Å, c = 11.810 Å
α = 90.00°, β = 104.01°, γ = 90.00°
Positions (direct):
K 0.226 0.000 0.186
K 0.274 0.500 0.814
K 0.726 0.500 0.186
K 0.774 0.000 0.814
Li 0.160 0.500 0.483
Li 0.340 0.000 0.517
Li 0.660 0.000 0.483
Li 0.840 0.500 0.517
Sn 0.041 0.000 0.620
Sn 0.459 0.500 0.380
Sn 0.541 0.500 0.620
Sn 0.959 0.000 0.380



--- 2 ---
The following is a PBE calculation of an optimized crystal structure of KLiSn, from the Alexandria database.

Summary:
DOS(E_F) ... 5.91 states/eV per cell
Theoretical density ... 2.781 g/cm3
SG ... C2/m, No. 12
Total magnetization ... 0.000 μB per atom

a = 9.583 Å, b = 5.442 Å, c = 7.590 Å
α = 90.00°, β = 96.20°, γ = 90.00°
Positions (direct):
K 0.157 0.000 0.363
K 0.343 0.500 0.637
K 0.657 0.500 0.363
K 0.843 0.000 0.637
Li 0.000 0.261 0.000
Li 0.000 0.739 0.000
Li 0.500 0.239 0.000
Li 0.500 0.761 0.000
Sn 0.234 0.000 0.886
Sn 0.266 0.500 0.114
Sn 0.734 0.500 0.886
Sn 0.766 0.000 0.114



Name the least stable of them. 2.



--- 1 ---
The following is a PBE calculation of an optimized crystal structure of KLiSn4, from the Alexandria database.

Summary:
DOS(E_F) ... 8.20 states/eV per cell
Theoretical density ... 4.724 g/cm3
SG ... F-43m, No. 216
Total magnetization ... 0.000 μB per atom

a = 6.374 Å, b = 6.374 Å, c = 6.374 Å
α = 60.00°, β = 60.00°, γ = 60.00°
Positions (direct):
K 0.000 0.000 0.000
Li 0.250 0.250 0.250
Sn 0.127 0.624 0.624
Sn 0.624 0.127 0.624
Sn 0.624 0.624 0.127
Sn 0.624 0.624 0.624



--- 2 ---
The following is a PBE calculation of an optimized crystal structure of KLiSn4, from the Alexandria database.

Summary:
DOS(E_F) ... 3.94 states/eV per cell
Theoretical density ... 4.752 g/cm3
SG ... P-1, No. 2
Total magnetization ... 0.000 μB per atom

a = 5.555 Å, b = 7.775 Å, c = 9.398 Å
α = 70.61°, β = 72.93°, γ = 89.77°
Positions (direct):
K 0.228 0.254 0.039
K 0.772 0.746 0.961
Li 0.256 0.498 0.503
Li 0.744 0.502 0.497
Sn 0.021 0.202 0.454
Sn 0.138 0.749 0.231
Sn 0.406 0.694 0.694
Sn 0.408 0.104 0.681
Sn 0.592 0.896 0.319
Sn 0.594 0.306 0.306
Sn 0.862 0.251 0.769
Sn 0.979 0.798 0.546



Name the least stable of them. 1.